Below is RbMnOs3 after structural relaxation, with properties calculated at the PBE level.

Geometry as CIF:
```
data_RbMnOs3
_cell_length_a 4.600
_cell_length_b 4.600
_cell_length_c 4.600
_cell_angle_alpha 90.00
_cell_angle_beta 90.00
_cell_angle_gamma 90.00
_space_group_name_H-M_alt 'P m -3 m'
_space_group_IT_number 221
_space_group_name_Hall '-P 4 2 3'
loop_
_atom_site_label
_atom_site_fract_x
_atom_site_fract_y
_atom_site_fract_z
_atom_site_occupancy
Rb1 0.000 0.000 0.000 1
Mn1 0.500 0.500 0.500 1
Os1 0.000 0.500 0.500 1
```

Summary:
For the energy relative to the elements, the calculation gives 1.94 eV per atom. The value obtained for the electronic total energy is -6.83 eV per atom. Its spin magnetization is 0.07 μB per atom.